A geometry-optimized Nb2ReSe structure, computed with GGA-PBE.

The uncorrected formation energy comes out at 793.0 meV/atom. The calculated total energy is -8.225 eV per atom. For the density of states at the Fermi level, the calculation gives 16.5 states/eV/cell.

It has space group I-42d (No. 122), with a = 5.380 Å, b = 5.380 Å, c = 13.406 Å, α = 90.00°, β = 90.00° and γ = 90.00°. The asymmetric unit holds Nb at (0.240, 0.250, 0.125), Re at (0.000, 0.000, 0.000) and Se at (0.000, 0.000, 0.500).